# 1
A geometry-optimized Pu4CO3 structure, computed with GGA-PBE.

Output
E_tot, eV/f.u.: -95.5
ρ, g/cm³: 12.56
Uncorrected formation energy, meV/atom: -1764
Spin magnetization, μB/f.u.: 2.1
Space group: R-3m
Crystal system: trigonal

Lattice parameters (Å, degrees): 3.583 3.583 12.495 81.76 81.76 60.00
Each line ends with the local moment (μB).
Element x y z (fractional)
Pu1 0.372 0.372 0.883  -4.63
Pu2 0.205 0.205 0.385  5.29
C1 0.000 0.000 0.000  0.28
O1 0.500 0.500 0.500  -0.11
Pu3 0.795 0.795 0.615  5.29
Pu4 0.628 0.628 0.117  -4.63
O2 0.736 0.736 0.793  0.05
O3 0.264 0.264 0.207  0.05

# 2
A geometry-optimized DyHoScAg structure, computed with GGA-PBE.

Output
E_tot, eV/f.u.: -18.3
Energy relative to the lowest polymorph listed for this composition, meV/atom: 142
ρ, g/cm³: 7.79
Spin magnetization, μB/f.u.: 0.0
Space group: F-43m
Crystal system: cubic

Lattice parameters (Å, degrees): 5.251 5.251 5.251 60.00 60.00 60.00
Element x y z (fractional)
Ag1 0.250 0.250 0.250
Dy1 0.500 0.500 0.500
Sc1 0.750 0.750 0.750
Ho1 0.000 0.000 0.000

# 3
A geometry-optimized LiPSe2 structure, computed with GGA-PBE.

Output
E_tot, eV/f.u.: -14.5
ρ, g/cm³: 3.82
Uncorrected formation energy, meV/atom: -51
Spin magnetization, μB/f.u.: 0.0
Space group: P4mm
Crystal system: tetragonal

Lattice parameters (Å, degrees): 2.650 2.650 12.138 90.00 90.00 90.00
Element x y z (fractional)
Li1 0.000 0.000 0.505
P1 0.500 0.500 0.668
Se1 0.000 0.000 0.994
Se2 0.500 0.500 0.334

# 4
A geometry-optimized PrYTeBr structure, computed with GGA-PBE.

Output
E_tot, eV/f.u.: -20.7
ρ, g/cm³: 6.77
Uncorrected formation energy, meV/atom: -1152
Spin magnetization, μB/f.u.: 0.0
Space group: F-43m
Crystal system: cubic

Lattice parameters (Å, degrees): 5.332 5.332 5.332 60.00 60.00 60.00
Element x y z (fractional)
Te1 0.750 0.750 0.750
Pr1 0.000 0.000 0.000
Y1 0.500 0.500 0.500
Br1 0.250 0.250 0.250